La11Cd9Pd4 | Alexandria via LeMat-Bulk | PBE | relaxed; uncorrected energy = -95.930 eV/f.u.; energy of formation = -530 meV per atom; spin magnetization = 0.613 μB per formula unit
1.0
7.5782 -11.3736 0.0000
7.5782 11.3736 0.0000
0.0000 0.0000 3.8922
La Cd Pd
11 9 4
direct
0.0000 0.0000 0.0000
0.0701 0.4144 0.0000
0.1620 0.8380 0.0000
0.3056 0.3056 0.0000
0.3720 0.6280 0.0000
0.4144 0.0701 0.0000
0.5856 0.9299 0.0000
0.6280 0.3720 0.0000
0.6944 0.6944 0.0000
0.8380 0.1620 0.0000
0.9299 0.5856 0.0000
0.0741 0.2161 0.5000
0.1611 0.6342 0.5000
0.2161 0.0741 0.5000
0.3658 0.8389 0.5000
0.5000 0.5000 0.5000
0.6342 0.1611 0.5000
0.7839 0.9259 0.5000
0.8389 0.3658 0.5000
0.9259 0.7839 0.5000
0.2483 0.4492 0.5000
0.4492 0.2483 0.5000
0.5508 0.7517 0.5000
0.7517 0.5508 0.5000

***

La3CrSn | Alexandria via LeMat-Bulk | PBE | relaxed; uncorrected energy = -28.904 eV/f.u.; energy of formation = -99 meV per atom; spin magnetization = 0.000 μB per formula unit
1.0
5.2550 0.0000 0.0000
0.0000 5.2550 0.0000
0.0000 0.0000 5.2550
La Cr Sn
3 1 1
direct
0.0000 0.0000 0.5000
0.0000 0.5000 0.0000
0.5000 0.0000 0.0000
0.0000 0.0000 0.0000
0.5000 0.5000 0.5000

***

ZnRe2Ni | Alexandria via LeMat-Bulk | PBE | relaxed; uncorrected energy = -31.175 eV/f.u.; energy of formation = 194 meV per atom; spin magnetization = 0.000 μB per formula unit
1.0
-1.6496 2.0030 4.1824
1.6496 -2.0030 4.1824
1.6496 2.0030 -4.1824
Zn Re Ni
1 2 1
direct
0.0000 0.0000 0.0000
0.2518 0.7518 0.5000
0.7482 0.2482 0.5000
0.5000 0.5000 0.0000

***

KCu3As3 | Alexandria via LeMat-Bulk | PBE | relaxed; uncorrected energy = -27.643 eV/f.u.; energy of formation = -44 meV per atom; spin magnetization = 0.000 μB per formula unit
1.0
6.7485 0.0000 0.0000
0.0000 6.7485 0.0000
0.0000 0.0000 6.7485
K Cu As
2 6 6
direct
0.0000 0.0000 0.0000
0.5000 0.5000 0.5000
0.0000 0.2500 0.5000
0.0000 0.7500 0.5000
0.2500 0.5000 0.0000
0.5000 0.0000 0.2500
0.5000 0.0000 0.7500
0.7500 0.5000 0.0000
0.0000 0.5000 0.2500
0.0000 0.5000 0.7500
0.2500 0.0000 0.5000
0.5000 0.2500 0.0000
0.5000 0.7500 0.0000
0.7500 0.0000 0.5000

***

ReH2Cl | Alexandria via LeMat-Bulk | PBE | relaxed; relative energy among the computed polymorphs = 796 meV per atom; uncorrected energy = -14.877 eV/f.u.; spin magnetization = 1.317 μB per formula unit
1.0
0.0000 2.6806 2.6806
2.6806 0.0000 2.6806
2.6806 2.6806 0.0000
Re H Cl
1 2 1
direct
0.0000 0.0000 0.0000
0.2500 0.2500 0.2500
0.7500 0.7500 0.7500
0.5000 0.5000 0.5000

***

Ca2P2Pb | Alexandria via LeMat-Bulk | PBE | relaxed; relative energy among the computed polymorphs = 207 meV per atom; uncorrected energy = -20.949 eV/f.u.; energy of formation = -484 meV per atom; spin magnetization = 0.000 μB per formula unit
1.0
8.2702 0.0000 0.0000
0.0000 8.2702 0.0000
0.0000 0.0000 3.4945
Ca P Pb
4 4 2
direct
0.1331 0.3669 0.0000
0.3669 0.8669 0.0000
0.6331 0.1331 0.0000
0.8669 0.6331 0.0000
0.1709 0.6709 0.5000
0.3291 0.1709 0.5000
0.6709 0.8291 0.5000
0.8291 0.3291 0.5000
0.0000 0.0000 0.0000
0.5000 0.5000 0.0000

***

Cs5AsSe4F2 | Alexandria via LeMat-Bulk | PBE | relaxed; uncorrected energy = -43.519 eV/f.u.; formation energy from raw total energies = -1.410 eV per atom; spin magnetization = 0.001 μB per formula unit
1.0
9.2752 0.0000 0.0000
0.0000 6.5746 4.0588
0.0000 -6.5746 4.0588
Cs As Se F
5 1 4 2
direct
0.0000 0.0000 0.0000
0.2241 0.4129 0.8236
0.2241 0.8236 0.4129
0.7759 0.4129 0.8236
0.7759 0.8236 0.4129
0.5000 0.1207 0.1207
0.2919 0.2878 0.2878
0.5000 0.0847 0.8020
0.5000 0.8020 0.0847
0.7081 0.2878 0.2878
0.0000 0.0871 0.6743
0.0000 0.6743 0.0871

***

CeSn2Sb | Alexandria via LeMat-Bulk | PBE | relaxed; relative energy among the computed polymorphs = 0 meV per atom; uncorrected energy = -20.310 eV/f.u.; formation energy from raw total energies = -0.562 eV per atom; spin magnetization = 0.002 μB per formula unit
1.0
4.6308 0.0000 0.0000
0.0000 4.6308 0.0000
0.0000 0.0000 4.9135
Ce Sn Sb
1 2 1
direct
0.0000 0.0000 0.0000
0.0000 0.5000 0.5000
0.5000 0.0000 0.5000
0.5000 0.5000 0.0000